First-principles (PBE) data for an optimized crystal structure of AlOs3, as listed in Alexandria via LeMat-Bulk.

## Properties
Volume: 114.5 Å³/cell
Space-group type: Pmmn
Energy of formation from the pure elements: 0.03 eV/atom

Cell lengths 4.386, 4.784, 5.456 Å; angles 90.00, 90.00, 90.00 degrees
Positions (direct):
Os1 0.500 0.347 0.000
Os2 0.000 0.147 0.259
Os3 0.000 0.147 0.741
Os4 0.500 0.853 0.241
Os5 0.500 0.853 0.759
Os6 0.000 0.653 0.500
Al1 0.000 0.648 0.000
Al2 0.500 0.352 0.500

---

First-principles (PBE) data for an optimized crystal structure of CoPtPb, as listed in Alexandria via LeMat-Bulk.

## Properties
Volume: 54.3 Å³/cell
Space-group type: Imm2
Energy of formation from the pure elements: 0.28 eV/atom

Cell lengths 5.838, 5.838, 5.838 Å; angles 148.59, 148.32, 45.22 degrees
Positions (direct):
Pt1 0.640 0.640 0.000
Pb1 0.337 0.337 0.000
Co1 0.022 0.022 0.000

---

First-principles (PBE) data for an optimized crystal structure of TaZn2Ru, as listed in Alexandria via LeMat-Bulk.

## Properties
Volume: 61.7 Å³/cell
Space-group type: R-3m
Energy of formation from the pure elements: 0.13 eV/atom

Cell lengths 9.189, 9.189, 9.189 Å; angles 17.57, 17.57, 17.57 degrees
Positions (direct):
Zn1 0.994 0.994 0.994
Zn2 0.506 0.506 0.506
Ta1 0.750 0.750 0.750
Ru1 0.250 0.250 0.250

---

First-principles (PBE) data for an optimized crystal structure of Ca2CdCu2Pt5, as listed in Alexandria via LeMat-Bulk.

## Properties
Volume: 352.8 Å³/cell
Space-group type: P4/mbm
Energy of formation from the pure elements: -0.59 eV/atom

Cell lengths 4.005, 9.385, 9.385 Å; angles 90.00, 90.00, 90.00 degrees
Positions (direct):
Pt1 0.500 0.500 0.000
Pt2 0.500 0.790 0.933
Pt3 0.500 0.567 0.710
Pt4 0.500 0.210 0.067
Pt5 0.500 0.290 0.567
Pt6 0.500 0.710 0.433
Pt7 0.500 0.433 0.290
Pt8 0.500 0.000 0.500
Pt9 0.500 0.067 0.790
Pt10 0.500 0.933 0.210
Ca1 0.000 0.323 0.823
Ca2 0.000 0.823 0.677
Ca3 0.000 0.677 0.177
Ca4 0.000 0.177 0.323
Cd1 0.000 0.000 0.000
Cd2 0.000 0.500 0.500
Cu1 0.000 0.380 0.120
Cu2 0.000 0.620 0.880
Cu3 0.000 0.120 0.620
Cu4 0.000 0.880 0.380

---

First-principles (PBE) data for an optimized crystal structure of Dy5Zn2Ru2, as listed in Alexandria via LeMat-Bulk.

## Properties
Volume: 427.3 Å³/cell
Space-group type: Cmce
Energy of formation from the pure elements: -0.31 eV/atom

Cell lengths 7.517, 7.283, 8.613 Å; angles 115.01, 90.00, 90.00 degrees
Positions (direct):
Zn1 0.500 0.282 0.565
Zn2 0.500 0.718 0.435
Zn3 0.000 0.218 0.435
Zn4 0.000 0.782 0.565
Dy1 0.680 0.051 0.743
Dy2 0.180 0.192 0.743
Dy3 0.820 0.551 0.743
Dy4 0.680 0.308 0.257
Dy5 0.000 0.000 0.000
Dy6 0.320 0.949 0.257
Dy7 0.820 0.808 0.257
Dy8 0.500 0.500 0.000
Dy9 0.320 0.692 0.743
Dy10 0.180 0.449 0.257
Ru1 0.127 0.619 0.000
Ru2 0.373 0.119 0.000
Ru3 0.627 0.881 0.000
Ru4 0.873 0.381 0.000

---

First-principles (PBE) data for an optimized crystal structure of SrPtSe2O8, as listed in Alexandria via LeMat-Bulk.

## Properties
Volume: 204.0 Å³/cell
Space-group type: C2/m
Formation energy (no corrections): -1.004 eV per atom

Cell lengths 6.044, 6.044, 7.942 Å; angles 114.44, 114.44, 52.39 degrees
Positions (direct):
O1 0.255 0.255 0.757
O2 0.759 0.247 0.197
O3 0.745 0.745 0.243
O4 0.241 0.753 0.803
O5 0.247 0.759 0.197
O6 0.647 0.647 0.515
O7 0.753 0.241 0.803
O8 0.353 0.353 0.485
Se1 0.612 0.612 0.289
Se2 0.388 0.388 0.711
Pt1 0.000 0.000 0.000
Sr1 0.000 0.000 0.500

---

First-principles (PBE) data for an optimized crystal structure of LiEu2Er, as listed in Alexandria via LeMat-Bulk.

## Properties
Volume: 135.2 Å³/cell
Space-group type: R-3m
Energy of formation from the pure elements: 0.28 eV/atom

Cell lengths 3.543, 3.543, 12.605 Å; angles 81.92, 81.92, 60.00 degrees
Positions (direct):
Eu1 0.910 0.910 0.270
Eu2 0.090 0.090 0.730
Er1 0.000 0.000 0.000
Li1 0.500 0.500 0.500

---

Q: Which of these has the lowest volume?
A: CoPtPb

---

Q: Which of these has the lowest volume?
A: CoPtPb